[1]
{"formula": "ScTl2Mo", "functional": "PBE-GGA", "state": "optimized geometry", "space_group": "Cmmm (65)", "e_form_ev_per_atom": 0.36, "de_polymorph_mev_per_atom": 103, "cell": [[3.079, -4.296, 0.000], [3.079, 4.296, 0.000], [0.000, 0.000, 3.150]], "species": ["Sc", "Tl", "Tl", "Mo"], "fractional_positions": [[0.000, 0.000, 0.000], [0.000, 0.500, 0.500], [0.500, 0.000, 0.500], [0.500, 0.500, 0.000]]}



[2]
{"formula": "Tb8Pr2Mg", "functional": "PBE-GGA", "state": "optimized geometry", "space_group": "Immm (71)", "e_form_ev_per_atom": 0.11, "de_polymorph_mev_per_atom": 0, "cell": [[-2.781, 3.871, 8.416], [2.781, -3.871, 8.416], [2.781, 3.871, -8.416]], "species": ["Tb", "Tb", "Tb", "Tb", "Tb", "Tb", "Tb", "Tb", "Pr", "Pr", "Mg"], "fractional_positions": [[0.144, 0.365, 0.778], [0.174, 0.174, 0.000], [0.268, 0.000, 0.268], [0.413, 0.635, 0.778], [0.587, 0.365, 0.222], [0.732, 0.000, 0.732], [0.826, 0.826, 0.000], [0.856, 0.635, 0.222], [0.304, 0.804, 0.500], [0.696, 0.196, 0.500], [0.000, 0.500, 0.500]]}



[3]
{"formula": "BeAlGaSe4", "functional": "PBE-GGA", "state": "optimized geometry", "raw_formation_energy_ev_per_atom": -0.748, "space_group": "I-4 (82)", "cell": [[-2.735, 2.735, 5.381], [2.735, -2.735, 5.381], [2.735, 2.735, -5.381]], "species": ["Be", "Al", "Ga", "Se", "Se", "Se", "Se"], "fractional_positions": [[0.000, 0.000, 0.000], [0.750, 0.250, 0.500], [0.250, 0.750, 0.500], [0.134, 0.638, 0.996], [0.362, 0.357, 0.496], [0.643, 0.138, 0.004], [0.862, 0.866, 0.504]]}